(1)
Entry from the Open Quantum Materials Database: a relaxed structure of Li4GaSbPt2 (PBE-GGA).

Computed properties:
VASP energy (eV/atom): -4.025
ρ (g/cm³): 8.52
SG: P-4m2, No. 115
Magnetization (μB/f.u.): 0.007

abc: 4.3677 4.3677 6.2291
angles: 90.00 90.00 90.00
Element x y z (fractional)
Li 0.0000 0.0000 0.0000
Li 0.0000 0.5000 0.7271
Li 0.5000 0.0000 0.2729
Li 0.5000 0.5000 0.5000
Ga 0.0000 0.0000 0.5000
Sb 0.5000 0.5000 0.0000
Pt 0.0000 0.5000 0.2638
Pt 0.5000 0.0000 0.7362

=====

(2)
Entry from the Open Quantum Materials Database: a relaxed structure of SmY2Al7Cu2 (PBE-GGA).

Computed properties:
VASP energy (eV/atom): -4.779
ρ (g/cm³): 4.78
SG: R-3m, No. 166
Magnetization (μB/f.u.): 0.014

abc: 9.0908 9.0908 9.0908
angles: 35.26 35.26 35.26
Element x y z (fractional)
Sm 0.0000 0.0000 0.0000
Y 0.1418 0.1418 0.1418
Y 0.8582 0.8582 0.8582
Al 0.0729 0.5819 0.5819
Al 0.4181 0.4181 0.9271
Al 0.4181 0.9271 0.4181
Al 0.5000 0.5000 0.5000
Al 0.5819 0.0729 0.5819
Al 0.5819 0.5819 0.0729
Al 0.9271 0.4181 0.4181
Cu 0.3352 0.3352 0.3352
Cu 0.6648 0.6648 0.6648